Record 1
Here is a geometry-optimized CeMg14Ni structure from Alexandria via LeMat-Bulk. Energies are from GGA-PBE.

a = 10.240 Å, b = 6.600 Å, c = 6.600 Å
α = 54.90°, β = 90.00°, γ = 90.00°
Positions (direct):
Ce: 0.000 0.000 0.000
Mg: 0.000 0.016 0.491
Mg: 0.000 0.491 0.016
Mg: 0.200 0.613 0.613
Mg: 0.250 0.136 0.634
Mg: 0.250 0.634 0.136
Mg: 0.264 0.142 0.142
Mg: 0.500 0.483 0.483
Mg: 0.500 0.485 0.975
Mg: 0.500 0.975 0.485
Mg: 0.500 0.975 0.975
Mg: 0.736 0.142 0.142
Mg: 0.750 0.136 0.634
Mg: 0.750 0.634 0.136
Mg: 0.800 0.613 0.613
Ni: 0.000 0.451 0.451

Computed properties:
* E: -2.0900 eV per atom
* relative energy among the computed polymorphs: 0.0000 eV/atom
* total moment: 1.0 μB per cell



Record 2
Here is a geometry-optimized Ac2Zn12Cu5 structure from Alexandria via LeMat-Bulk. Energies are from GGA-PBE.

a = 6.884 Å, b = 6.884 Å, c = 6.884 Å
α = 83.05°, β = 83.05°, γ = 83.05°
Positions (direct):
Ac: 0.159 0.159 0.159
Ac: 0.841 0.841 0.841
Zn: 0.161 0.161 0.642
Zn: 0.161 0.642 0.161
Zn: 0.220 0.500 0.780
Zn: 0.220 0.780 0.500
Zn: 0.358 0.839 0.839
Zn: 0.500 0.220 0.780
Zn: 0.500 0.780 0.220
Zn: 0.642 0.161 0.161
Zn: 0.780 0.220 0.500
Zn: 0.780 0.500 0.220
Zn: 0.839 0.358 0.839
Zn: 0.839 0.839 0.358
Cu: 0.000 0.500 0.500
Cu: 0.401 0.401 0.401
Cu: 0.500 0.000 0.500
Cu: 0.500 0.500 0.000
Cu: 0.599 0.599 0.599

Computed properties:
* E: -2.5143 eV per atom
* total moment: 0.0 μB per cell



Record 3
Here is a geometry-optimized Y2C3 structure from Alexandria via LeMat-Bulk. Energies are from GGA-PBE.

a = 7.157 Å, b = 7.157 Å, c = 7.157 Å
α = 109.47°, β = 109.47°, γ = 109.47°
Positions (direct):
Y: 0.000 0.399 0.500
Y: 0.000 0.899 0.500
Y: 0.101 0.101 0.101
Y: 0.399 0.500 0.000
Y: 0.500 0.000 0.399
Y: 0.500 0.000 0.899
Y: 0.601 0.601 0.601
Y: 0.899 0.500 0.000
C: 0.044 0.750 0.794
C: 0.206 0.750 0.956
C: 0.250 0.544 0.294
C: 0.250 0.706 0.456
C: 0.294 0.250 0.544
C: 0.456 0.250 0.706
C: 0.544 0.294 0.250
C: 0.706 0.456 0.250
C: 0.750 0.794 0.044
C: 0.750 0.956 0.206
C: 0.794 0.044 0.750
C: 0.956 0.206 0.750

Computed properties:
* E: -8.3778 eV per atom
* relative energy among the computed polymorphs: 0.0000 eV/atom
* total moment: 0.0 μB per cell



Record 4
Here is a geometry-optimized BaNaAcMg structure from Alexandria via LeMat-Bulk. Energies are from GGA-PBE.

a = 6.151 Å, b = 6.151 Å, c = 6.151 Å
α = 60.00°, β = 60.00°, γ = 60.00°
Positions (direct):
Ba: 0.000 0.000 0.000
Na: 0.750 0.750 0.750
Ac: 0.500 0.500 0.500
Mg: 0.250 0.250 0.250

Computed properties:
* E: -2.1491 eV per atom
* total moment: 0.0 μB per cell



Record 5
Here is a geometry-optimized Mg6Sn3H2 structure from Alexandria via LeMat-Bulk. Energies are from GGA-PBE.

a = 11.407 Å, b = 11.407 Å, c = 11.407 Å
α = 157.13°, β = 157.13°, γ = 32.57°
Positions (direct):
Mg: 0.084 0.584 0.500
Mg: 0.189 0.189 0.000
Mg: 0.416 0.916 0.500
Mg: 0.584 0.084 0.500
Mg: 0.811 0.811 0.000
Mg: 0.916 0.416 0.500
Sn: 0.323 0.323 0.000
Sn: 0.500 0.500 0.000
Sn: 0.677 0.677 0.000
H: 0.091 0.091 0.000
H: 0.909 0.909 0.000

Computed properties:
* E: -2.6595 eV per atom
* total moment: 0.0 μB per cell



Record 6
Here is a geometry-optimized CeGeSbRh3 structure from Alexandria via LeMat-Bulk. Energies are from GGA-PBE.

a = 8.514 Å, b = 8.514 Å, c = 5.721 Å
α = 90.00°, β = 90.00°, γ = 141.14°
Positions (direct):
Ce: 0.215 0.785 0.750
Ce: 0.785 0.215 0.250
Ge: 0.411 0.589 0.250
Ge: 0.589 0.411 0.750
Sb: 0.098 0.902 0.250
Sb: 0.902 0.098 0.750
Rh: 0.255 0.255 0.000
Rh: 0.255 0.255 0.500
Rh: 0.259 0.741 0.250
Rh: 0.741 0.259 0.750
Rh: 0.745 0.745 0.000
Rh: 0.745 0.745 0.500

Computed properties:
* E_form (uncorrected): -575 meV/atom
* E: -6.6961 eV per atom
* total moment: 1.6 μB per cell



Record 7
Here is a geometry-optimized AsOs2Rh structure from Alexandria via LeMat-Bulk. Energies are from GGA-PBE.

a = 2.823 Å, b = 3.784 Å, c = 5.589 Å
α = 90.00°, β = 90.00°, γ = 90.00°
Positions (direct):
As: 0.000 0.000 0.000
Os: 0.000 0.000 0.511
Os: 0.500 0.500 0.313
Rh: 0.500 0.500 0.801

Computed properties:
* E: -8.3564 eV per atom
* total moment: 0.0 μB per cell



Record 8
Here is a geometry-optimized Sm4Pb2C structure from Alexandria via LeMat-Bulk. Energies are from GGA-PBE.

a = 6.739 Å, b = 6.903 Å, c = 9.526 Å
α = 90.00°, β = 110.11°, γ = 90.00°
Positions (direct):
Sm: 0.174 0.250 0.060
Sm: 0.243 0.000 0.730
Sm: 0.243 0.500 0.730
Sm: 0.276 0.750 0.346
Sm: 0.724 0.250 0.654
Sm: 0.757 0.000 0.270
Sm: 0.757 0.500 0.270
Sm: 0.826 0.750 0.940
Pb: 0.227 0.250 0.420
Pb: 0.346 0.750 0.034
Pb: 0.654 0.250 0.966
Pb: 0.773 0.750 0.580
C: 0.078 0.250 0.801
C: 0.922 0.750 0.199

Computed properties:
* E: -5.4463 eV per atom
* relative energy among the computed polymorphs: 0.1064 eV/atom
* total moment: 0.0 μB per cell